Computed, not measured: a relaxed structure of BiSe2O at the PBE level of DFT.

## Properties
- energy relative to the elements, uncorrected (eV/atom) = 0.144
- total moment (μB/f.u.) = 0.00
- symmetry = I-42d (122)
- raw total energy (eV/cell) = -30.47

Cell lengths 7.3151, 7.3151, 7.3151 Å; angles 134.62, 134.62, 66.12 degrees
Sites, in units of the cell vectors:
Bi 0.0000 0.0000 0.0000
Bi 0.7500 0.2500 0.5000
Se 0.2750 0.6250 0.1500
Se 0.3750 0.5250 0.6500
Se 0.4750 0.1250 0.8500
Se 0.8750 0.7250 0.3500
O 0.2500 0.7500 0.5000
O 0.5000 0.5000 0.0000


Computed, not measured: a relaxed structure of SmSn2Pd7 at the PBE level of DFT.

## Properties
- DFT formation energy (eV per formula unit) = -2.5
- total moment (μB/f.u.) = 0.00
- symmetry = Cmmm (65)
- raw total energy (eV/cell) = -51.60

Cell lengths 7.6267, 7.6267, 4.5529 Å; angles 90.00, 90.00, 122.16 degrees
Sites, in units of the cell vectors:
Sm 0.0000 0.0000 0.0000
Sn 0.3010 0.6990 0.5000
Sn 0.6990 0.3010 0.5000
Pd 0.0720 0.2920 0.5000
Pd 0.2076 0.7924 0.0000
Pd 0.2920 0.0720 0.5000
Pd 0.5000 0.5000 0.5000
Pd 0.7080 0.9280 0.5000
Pd 0.7924 0.2076 0.0000
Pd 0.9280 0.7080 0.5000


Computed, not measured: a relaxed structure of SrLi2Sb at the PBE level of DFT.

## Properties
- energy relative to the elements, uncorrected (eV/atom) = -0.272
- total moment (μB/f.u.) = 0.00
- symmetry = C2/m (12)
- raw total energy (eV/cell) = -10.72

Cell lengths 6.3419, 6.3419, 4.6674 Å; angles 110.88, 110.88, 118.27 degrees
Sites, in units of the cell vectors:
Sr 0.0000 0.0000 0.0000
Li 0.0000 0.5000 0.5000
Li 0.5000 0.0000 0.5000
Sb 0.5000 0.5000 0.0000